First-principles (PBE-GGA) data for InOs3Pd after structural relaxation, as listed in Alexandria via LeMat-Bulk.

energy of formation from the pure elements = 2448 meV per atom
size of the total moment = 1.074 μB per atom
crystal system = cubic
N(E_F) = 4.986 states/eV per cell

Cell lengths 4.7635, 4.7635, 4.7635 Å; angles 90.00, 90.00, 90.00 degrees
With the nearest neighbours (Å) after each atom.
Space group Pm-3m (No. 221)
One atom of each set of equivalent atoms:
In: 0.0000 0.0000 0.0000 [1 per cell]  12 Os 3.37
Os: 0.0000 0.5000 0.5000 [3 per cell]  2 Pd 2.38
Pd: 0.5000 0.5000 0.5000 [1 per cell]  6 Os 2.38

=====

First-principles (PBE-GGA) data for InOs2Pd after structural relaxation, as listed in Alexandria via LeMat-Bulk.

energy of formation from the pure elements = 1011 meV per atom
size of the total moment = 0.285 μB per atom
crystal system = tetragonal
N(E_F) = 20.260 states/eV per cell

Cell lengths 7.4761, 7.4761, 5.1188 Å; angles 90.00, 90.00, 90.00 degrees
With the nearest neighbours (Å) after each atom.
Space group I-42d (No. 122)
One atom of each set of equivalent atoms:
In: 0.0000 0.0000 0.0000 [4 per cell]  2 Pd 2.56, 4 Os 2.81
Os: 0.2329 0.2500 0.6250 [8 per cell]  2 Os 2.57, 2 Pd 2.63, 2 In 2.81
Pd: 0.0000 0.0000 0.5000 [4 per cell]  2 In 2.56, 4 Os 2.63